(1)
VASP calculation (PBE) on an optimized crystal structure of Nd6ErAl.

Lattice parameters (Å, degrees): 4.985 4.985 10.219 90.00 90.00 90.00
Positions (direct):
Nd (0.500, 0.500, 0.000)
Nd (0.500, 0.500, 0.500)
Nd (0.500, 0.000, 0.261)
Nd (0.500, 0.000, 0.739)
Nd (0.000, 0.500, 0.261)
Nd (0.000, 0.500, 0.739)
Er (0.000, 0.000, 0.000)
Al (0.000, 0.000, 0.500)

## Properties
energy of formation from the pure elements	-6.01	kJ per mole of atoms
VASP energy	-4.6764	eV/atom
SG	No. 123

=====

(2)
VASP calculation (PBE) on an optimized crystal structure of Nd2ErAlO.

Lattice parameters (Å, degrees): 4.631 4.970 4.970 90.00 90.00 90.00
Positions (direct):
Nd (0.000, 0.000, 0.500)
Nd (0.000, 0.500, 0.000)
Er (0.500, 0.000, 0.000)
Al (0.500, 0.500, 0.500)
O (0.000, 0.000, 0.000)

## Properties
formation energy without anion corrections	-1.326	eV per atom
VASP energy	-5.8863	eV/atom
SG	No. 123

=====

(3)
VASP calculation (PBE) on an optimized crystal structure of PmNdErAl.

Lattice parameters (Å, degrees): 5.432 5.432 5.432 60.00 60.00 60.00
Positions (direct):
Pm (0.000, 0.000, 0.000)
Nd (0.500, 0.500, 0.500)
Al (0.250, 0.250, 0.250)
Er (0.750, 0.750, 0.750)

## Properties
energy relative to the lowest polymorph listed for this composition	0.112	eV/atom
energy of formation from the pure elements	-6.44	kJ per mole of atoms
VASP energy	-4.5227	eV/atom
SG	No. 216

=====

(4)
VASP calculation (PBE) on an optimized crystal structure of PmNdErAl.

Lattice parameters (Å, degrees): 3.545 3.545 9.247 90.00 90.00 90.00
Positions (direct):
Pm (0.500, 0.500, 0.780)
Nd (0.000, 0.000, 0.081)
Er (0.500, 0.500, 0.361)
Al (0.000, 0.000, 0.563)

## Properties
energy relative to the lowest polymorph listed for this composition	0.000	eV/atom
energy of formation from the pure elements	-17.24	kJ per mole of atoms
VASP energy	-4.6346	eV/atom
SG	No. 99

=====

(5)
VASP calculation (PBE) on an optimized crystal structure of Nd2ErAl4Pt3.

Lattice parameters (Å, degrees): 4.264 4.264 11.518 90.00 90.00 90.00
Positions (direct):
Nd (0.500, 0.000, 0.229)
Nd (0.000, 0.500, 0.771)
Er (0.500, 0.500, 0.500)
Al (0.500, 0.500, 0.000)
Al (0.000, 0.000, 0.000)
Al (0.500, 0.000, 0.666)
Al (0.000, 0.500, 0.334)
Pt (0.000, 0.000, 0.500)
Pt (0.500, 0.000, 0.879)
Pt (0.000, 0.500, 0.121)

## Properties
energy of formation from the pure elements	-89.03	kJ per mole of atoms
VASP energy	-5.6419	eV/atom
SG	No. 115

=====

(6)
VASP calculation (PBE) on an optimized crystal structure of NdErAlRh.

Lattice parameters (Å, degrees): 5.055 5.055 5.055 60.00 60.00 60.00
Positions (direct):
Rh (0.000, 0.000, 0.000)
Nd (0.750, 0.750, 0.750)
Al (0.500, 0.500, 0.500)
Er (0.250, 0.250, 0.250)

## Properties
energy of formation from the pure elements	-46.73	kJ per mole of atoms
VASP energy	-5.5904	eV/atom
SG	No. 216

=====

(7)
VASP calculation (PBE) on an optimized crystal structure of NdErScAl.

Lattice parameters (Å, degrees): 5.280 5.280 5.280 60.00 60.00 60.00
Positions (direct):
Sc (0.000, 0.000, 0.000)
Nd (0.750, 0.750, 0.750)
Al (0.500, 0.500, 0.500)
Er (0.250, 0.250, 0.250)

## Properties
energy of formation from the pure elements	-9.43	kJ per mole of atoms
VASP energy	-4.9489	eV/atom
SG	No. 216

=====

(8)
VASP calculation (PBE) on an optimized crystal structure of NdErAlSi.

Lattice parameters (Å, degrees): 4.383 4.021 5.936 90.00 111.67 90.00
Positions (direct):
Nd (0.145, 0.000, 0.290)
Er (0.862, 0.500, 0.724)
Al (0.568, 0.500, 0.136)
Si (0.425, 0.000, 0.851)

## Properties
formation energy without anion corrections	-0.614	eV per atom
VASP energy	-5.2376	eV/atom
SG	No. 38

=====

(9)
VASP calculation (PBE) on an optimized crystal structure of TbNdErAl.

Lattice parameters (Å, degrees): 5.396 5.396 5.396 60.00 60.00 60.00
Positions (direct):
Nd (0.000, 0.000, 0.000)
Tb (0.500, 0.500, 0.500)
Al (0.250, 0.250, 0.250)
Er (0.750, 0.750, 0.750)

## Properties
energy relative to the lowest polymorph listed for this composition	0.131	eV/atom
energy of formation from the pure elements	-6.02	kJ per mole of atoms
VASP energy	-4.4883	eV/atom
SG	No. 216

=====

(10)
VASP calculation (PBE) on an optimized crystal structure of TbNdErAl.

Lattice parameters (Å, degrees): 3.532 3.532 9.102 90.00 90.00 90.00
Positions (direct):
Tb (0.500, 0.500, 0.780)
Nd (0.000, 0.000, 0.075)
Er (0.500, 0.500, 0.362)
Al (0.000, 0.000, 0.568)

## Properties
energy relative to the lowest polymorph listed for this composition	0.000	eV/atom
energy of formation from the pure elements	-18.68	kJ per mole of atoms
VASP energy	-4.6194	eV/atom
SG	No. 99

=====

(11)
VASP calculation (PBE) on an optimized crystal structure of NdErThAl.

Lattice parameters (Å, degrees): 5.430 5.430 5.430 60.00 60.00 60.00
Positions (direct):
Nd (0.000, 0.000, 0.000)
Al (0.250, 0.250, 0.250)
Th (0.500, 0.500, 0.500)
Er (0.750, 0.750, 0.750)

## Properties
energy of formation from the pure elements	-1.68	kJ per mole of atoms
VASP energy	-5.1407	eV/atom
SG	No. 216

=====

(12)
VASP calculation (PBE) on an optimized crystal structure of NdErTmAl.

Lattice parameters (Å, degrees): 5.365 5.365 5.365 60.00 60.00 60.00
Positions (direct):
Tm (0.000, 0.000, 0.000)
Nd (0.250, 0.250, 0.250)
Al (0.500, 0.500, 0.500)
Er (0.750, 0.750, 0.750)

## Properties
energy relative to the lowest polymorph listed for this composition	0.136	eV/atom
energy of formation from the pure elements	-6.18	kJ per mole of atoms
VASP energy	-4.4503	eV/atom
SG	No. 216

=====

(13)
VASP calculation (PBE) on an optimized crystal structure of NdErTmAl.

Lattice parameters (Å, degrees): 3.514 3.514 9.018 90.00 90.00 90.00
Positions (direct):
Nd (0.000, 0.000, 0.072)
Er (0.500, 0.500, 0.780)
Tm (0.500, 0.500, 0.363)
Al (0.000, 0.000, 0.570)

## Properties
energy relative to the lowest polymorph listed for this composition	0.000	eV/atom
energy of formation from the pure elements	-19.32	kJ per mole of atoms
VASP energy	-4.5864	eV/atom
SG	No. 99

=====

(14)
VASP calculation (PBE) on an optimized crystal structure of NdYErAl.

Lattice parameters (Å, degrees): 3.535 3.535 9.084 90.00 90.00 90.00
Positions (direct):
Nd (0.000, 0.000, 0.075)
Y (0.500, 0.500, 0.779)
Er (0.500, 0.500, 0.362)
Al (0.000, 0.000, 0.568)

## Properties
energy relative to the lowest polymorph listed for this composition	0.000	eV/atom
energy of formation from the pure elements	-19.60	kJ per mole of atoms
VASP energy	-5.0875	eV/atom
SG	No. 99

=====

(15)
VASP calculation (PBE) on an optimized crystal structure of NdYErAl.

Lattice parameters (Å, degrees): 5.400 5.400 5.400 60.00 60.00 60.00
Positions (direct):
Y (0.500, 0.500, 0.500)
Nd (0.000, 0.000, 0.000)
Al (0.250, 0.250, 0.250)
Er (0.750, 0.750, 0.750)

## Properties
energy relative to the lowest polymorph listed for this composition	0.137	eV/atom
energy of formation from the pure elements	-6.41	kJ per mole of atoms
VASP energy	-4.9507	eV/atom
SG	No. 216

=====

(16)
VASP calculation (PBE) on an optimized crystal structure of NdEr2Al2Zn2.

Lattice parameters (Å, degrees): 4.529 4.529 9.514 76.23 76.23 60.00
Positions (direct):
Nd (0.000, 0.000, 0.000)
Er (0.129, 0.129, 0.612)
Er (0.871, 0.871, 0.388)
Al (0.741, 0.741, 0.776)
Al (0.259, 0.259, 0.224)
Zn (0.594, 0.594, 0.217)
Zn (0.406, 0.406, 0.783)

## Properties
energy of formation from the pure elements	-29.65	kJ per mole of atoms
VASP energy	-3.7254	eV/atom
SG	No. 166

=====

(17)
VASP calculation (PBE) on an optimized crystal structure of NdErAlZn.

Lattice parameters (Å, degrees): 3.609 3.609 7.368 90.00 90.00 90.00
Positions (direct):
Nd (0.000, 0.000, 0.855)
Er (0.000, 0.000, 0.364)
Al (0.500, 0.500, 0.125)
Zn (0.500, 0.500, 0.584)

## Properties
energy relative to the lowest polymorph listed for this composition	0.000	eV/atom
energy of formation from the pure elements	-34.58	kJ per mole of atoms
VASP energy	-3.9452	eV/atom
SG	No. 99

=====

(18)
VASP calculation (PBE) on an optimized crystal structure of NdErAlZn.

Lattice parameters (Å, degrees): 5.149 5.149 5.149 60.00 60.00 60.00
Positions (direct):
Zn (0.000, 0.000, 0.000)
Nd (0.250, 0.250, 0.250)
Al (0.500, 0.500, 0.500)
Er (0.750, 0.750, 0.750)

## Properties
energy relative to the lowest polymorph listed for this composition	0.013	eV/atom
energy of formation from the pure elements	-33.31	kJ per mole of atoms
VASP energy	-3.9321	eV/atom
SG	No. 216

=====

(19)
VASP calculation (PBE) on an optimized crystal structure of ErAl12Ni4.

Lattice parameters (Å, degrees): 7.419 7.419 7.419 109.47 109.47 109.47
Positions (direct):
Er (0.000, 0.000, 0.000)
Al (0.808, 0.328, 0.136)
Al (0.328, 0.519, 0.192)
Al (0.864, 0.192, 0.672)
Al (0.328, 0.136, 0.808)
Al (0.136, 0.808, 0.328)
Al (0.672, 0.481, 0.808)
Al (0.519, 0.192, 0.328)
Al (0.481, 0.808, 0.672)
Al (0.672, 0.864, 0.192)
Al (0.808, 0.672, 0.481)
Al (0.192, 0.328, 0.519)
Al (0.192, 0.672, 0.864)
Ni (0.000, 0.500, 0.000)
Ni (0.500, 0.000, 0.000)
Ni (0.500, 0.500, 0.500)
Ni (0.000, 0.000, 0.500)

## Properties
energy of formation from the pure elements	-8.96	kJ per mole of atoms
VASP energy	-4.3634	eV/atom
SG	No. 204

=====

(20)
VASP calculation (PBE) on an optimized crystal structure of Er6Al2Ni.

Lattice parameters (Å, degrees): 4.894 7.023 8.435 114.60 106.86 90.00
Positions (direct):
Er (0.159, 0.399, 0.317)
Er (0.841, 0.082, 0.683)
Er (0.841, 0.601, 0.683)
Er (0.500, 0.231, 0.000)
Er (0.159, 0.918, 0.317)
Er (0.500, 0.769, 0.000)
Al (0.666, 0.666, 0.333)
Al (0.334, 0.334, 0.667)
Ni (0.000, 0.000, 0.000)

## Properties
energy of formation from the pure elements	-7.39	kJ per mole of atoms
VASP energy	-4.5926	eV/atom
SG	No. 71

=====

The following ρ values (in g/cm³) correspond, in order, to the records above: 6.93; 7.24; 7.08; 6.91; 9.11; 8.03; 6.12; 6.26; 7.43; 7.27; 8.37; 7.72; 7.57; 6.25; 6.37; 6.78; 6.99; 6.95; 3.83; 7.42.